! SrCdIn5, relaxed, DFT PBE; values from VASP
&SYSTEM
  ibrav = 0, nat = 7, ntyp = 3
/
ATOMIC_SPECIES
In 114.82 In.upf
Cd 112.41 Cd.upf
Sr 87.62 Sr.upf
CELL_PARAMETERS angstrom
5.093 0.000 0.000
0.000 5.093 0.000
0.000 0.000 7.726
ATOMIC_POSITIONS crystal
In 0.500 0.000 0.289
Cd 0.000 0.000 0.500
In 0.000 0.500 0.289
Sr 0.000 0.000 0.000
In 0.500 0.000 0.711
In 0.500 0.500 0.000
In 0.000 0.500 0.711
! Calculated total energy = -17.3 eV per cell
! Energy of formation = -15 kJ per mole of atoms



! SrCdIn2, relaxed, DFT PBE; values from VASP
&SYSTEM
  ibrav = 0, nat = 8, ntyp = 3
/
ATOMIC_SPECIES
Cd 112.41 Cd.upf
Sr 87.62 Sr.upf
In 114.82 In.upf
CELL_PARAMETERS angstrom
-2.138 1.793 3.931
-3.348 -3.459 -0.244
3.540 -7.366 8.241
ATOMIC_POSITIONS crystal
Cd 0.000 0.000 0.000
Cd 0.750 0.250 0.500
Sr 0.500 0.500 0.000
In 0.677 0.125 0.250
In 0.073 0.625 0.250
Sr 0.250 0.750 0.500
In 0.375 0.323 0.750
In 0.875 0.927 0.750
! Calculated total energy = -16.9 eV per cell
! Energy of formation = -9 kJ per mole of atoms



! SrCd2In, relaxed, DFT PBE; values from VASP
&SYSTEM
  ibrav = 0, nat = 8, ntyp = 3
/
ATOMIC_SPECIES
Cd 112.41 Cd.upf
In 114.82 In.upf
Sr 87.62 Sr.upf
CELL_PARAMETERS angstrom
4.553 0.000 0.000
0.000 4.553 0.000
0.000 0.000 11.319
ATOMIC_POSITIONS crystal
Cd 0.000 0.000 0.500
In 0.000 0.500 0.333
Sr 0.500 0.000 0.234
Sr 0.000 0.500 0.766
Cd 0.000 0.500 0.062
Cd 0.500 0.500 0.500
In 0.500 0.000 0.667
Cd 0.500 0.000 0.938
! Calculated total energy = -14.5 eV per cell
! Energy of formation = -24 kJ per mole of atoms



! SrCdIn3, relaxed, DFT PBE; values from VASP
&SYSTEM
  ibrav = 0, nat = 5, ntyp = 3
/
ATOMIC_SPECIES
Sr 87.62 Sr.upf
Cd 112.41 Cd.upf
In 114.82 In.upf
CELL_PARAMETERS angstrom
6.325 0.000 0.000
0.000 6.325 0.000
0.000 0.000 6.325
ATOMIC_POSITIONS crystal
Sr 0.000 0.000 0.000
Cd 0.500 0.500 0.500
In 0.500 0.000 0.000
In 0.000 0.000 0.500
In 0.000 0.500 0.000
! Calculated total energy = -7.3 eV per cell
! Energy of formation = 69 kJ per mole of atoms



! SrCd2In, relaxed, DFT PBE; values from VASP
&SYSTEM
  ibrav = 0, nat = 4, ntyp = 3
/
ATOMIC_SPECIES
Cd 112.41 Cd.upf
In 114.82 In.upf
Sr 87.62 Sr.upf
CELL_PARAMETERS angstrom
-3.714 3.487 -0.787
-1.004 -1.768 -3.095
-3.904 -3.430 3.228
ATOMIC_POSITIONS crystal
Cd 0.000 0.250 0.502
Cd 0.000 0.250 0.998
In 0.500 0.250 0.250
Sr 0.500 0.750 0.750
! Calculated total energy = -7.1 eV per cell
! Energy of formation = -21 kJ per mole of atoms



! SrCdIn2, relaxed, DFT PBE; values from VASP
&SYSTEM
  ibrav = 0, nat = 4, ntyp = 3
/
ATOMIC_SPECIES
In 114.82 In.upf
Cd 112.41 Cd.upf
Sr 87.62 Sr.upf
CELL_PARAMETERS angstrom
-2.699 0.742 -2.255
-0.647 -5.722 -1.107
-3.671 0.467 4.548
ATOMIC_POSITIONS crystal
In 0.500 0.885 0.496
Cd 0.500 0.393 0.607
In 0.500 0.504 0.115
Sr 0.000 0.998 0.002
! Calculated total energy = -8.7 eV per cell
! Energy of formation = -16 kJ per mole of atoms